Computed, not measured: an optimized crystal structure of HfMn2 at the PBE level of DFT.

Structure (POSCAR):
```
HfMn2
1.0
4.9087 0.0000 0.0000
-2.4543 4.2510 0.0000
0.0000 0.0000 16.2171
Hf Mn
8 16
Direct
0.0000 0.0000 0.0931
0.0000 0.0000 0.4069
0.0000 0.0000 0.5931
0.0000 0.0000 0.9069
0.3333 0.6667 0.1563
0.3333 0.6667 0.3437
0.6667 0.3333 0.6563
0.6667 0.3333 0.8437
0.0000 0.5000 0.0000
0.0000 0.5000 0.5000
0.1623 0.3247 0.7500
0.1623 0.8377 0.7500
0.3247 0.1623 0.2500
0.3333 0.6667 0.6261
0.3333 0.6667 0.8739
0.5000 0.0000 0.0000
0.5000 0.0000 0.5000
0.5000 0.5000 0.0000
0.5000 0.5000 0.5000
0.6667 0.3333 0.1261
0.6667 0.3333 0.3739
0.6753 0.8377 0.7500
0.8377 0.1623 0.2500
0.8377 0.6753 0.2500
```

Values from the calculation:
Symmetry   No. 194
ΔE_f   -0.25 eV/atom
Total energy   -9.684 eV per atom
Density of states at the Fermi level   27.9 states/eV/cell

=====

Computed, not measured: an optimized crystal structure of AlCdSe2 at the PBE level of DFT.

Structure (POSCAR):
```
AlCdSe2
1.0
2.1103 1.2184 7.5494
-2.1103 1.2184 7.5494
0.0000 -2.4367 7.5494
Al Cd Se
1 1 2
Direct
0.0000 0.0000 0.0000
0.5000 0.5000 0.5000
0.1025 0.1025 0.1025
0.8975 0.8975 0.8975
```

Values from the calculation:
Symmetry   No. 166
Uncorrected formation energy   -0.120 eV/atom
Total energy   -3.027 eV per atom
E above lowest polymorph   405 meV/atom
Density of states at the Fermi level   2.8 states/eV/cell

=====

Computed, not measured: an optimized crystal structure of ErTm10Th4 at the PBE level of DFT.

Structure (POSCAR):
```
ErTm10Th4
1.0
-5.5846 5.5846 3.8655
5.5846 -5.5846 3.8655
5.5846 5.5846 -3.8655
Er Tm Th
1 10 4
Direct
0.0000 0.0000 0.0000
0.0842 0.2928 0.7914
0.2500 0.7500 0.5000
0.2928 0.0842 0.7914
0.2928 0.5015 0.2086
0.4985 0.7072 0.7914
0.5015 0.2928 0.2086
0.7072 0.4985 0.7914
0.7072 0.9158 0.2086
0.7500 0.2500 0.5000
0.9158 0.7072 0.2086
0.2274 0.2274 0.4547
0.2274 0.7726 0.0000
0.7726 0.2274 0.0000
0.7726 0.7726 0.5453
```

Values from the calculation:
Symmetry   No. 139
ΔE_f   0.30 eV/atom
Total energy   -4.966 eV per atom
Density of states at the Fermi level   21.7 states/eV/cell

=====

Computed, not measured: an optimized crystal structure of Pa2AgPb at the PBE level of DFT.

Structure (POSCAR):
```
Pa2AgPb
1.0
4.3377 0.0000 0.0000
0.0000 4.3377 0.0000
0.0000 0.0000 5.0777
Pa Ag Pb
2 1 1
Direct
0.0000 0.5000 0.0000
0.5000 0.0000 0.0000
0.0000 0.0000 0.5000
0.5000 0.5000 0.5000
```

Values from the calculation:
Symmetry   No. 123
ΔE_f   0.12 eV/atom
Total energy   -6.266 eV per atom
E above lowest polymorph   0 meV/atom
Density of states at the Fermi level   7.0 states/eV/cell

=====

Computed, not measured: an optimized crystal structure of LiPbN at the PBE level of DFT.

Structure (POSCAR):
```
LiPbN
1.0
3.6837 0.0000 0.0000
-1.8418 3.1901 0.0000
0.0000 0.0000 4.4739
Li Pb N
1 1 1
Direct
0.0000 0.0000 0.0000
0.6667 0.3333 0.5000
0.6667 0.3333 0.0000
```

Values from the calculation:
Symmetry   No. 187
Uncorrected formation energy   0.313 eV/atom
Total energy   -4.337 eV per atom
E above lowest polymorph   237 meV/atom
Density of states at the Fermi level   0.6 states/eV/cell

=====

Computed, not measured: an optimized crystal structure of NbHPd at the PBE level of DFT.

Structure (POSCAR):
```
NbHPd
1.0
4.7840 -1.4357 0.0000
4.7840 1.4357 0.0000
-0.6922 0.0000 5.1865
Nb H Pd
2 2 2
Direct
0.0000 0.0000 0.0000
0.2398 0.2398 0.6921
0.6039 0.6039 0.8092
0.8776 0.8776 0.6749
0.4959 0.4959 0.4505
0.7474 0.7474 0.2076
```

Values from the calculation:
Symmetry   No. 8
Total energy   -6.450 eV per atom
E above lowest polymorph   18 meV/atom
Density of states at the Fermi level   2.8 states/eV/cell

=====

Computed, not measured: an optimized crystal structure of Sr2ScRh at the PBE level of DFT.

Structure (POSCAR):
```
Sr2ScRh
1.0
-2.2788 2.2788 5.2669
2.2788 -2.2788 5.2669
2.2788 2.2788 -5.2669
Sr Sc Rh
2 1 1
Direct
0.2500 0.7500 0.5000
0.7500 0.2500 0.5000
0.0000 0.0000 0.0000
0.5000 0.5000 0.0000
```

Values from the calculation:
Symmetry   No. 139
ΔE_f   0.27 eV/atom
Total energy   -3.992 eV per atom
E above lowest polymorph   535 meV/atom
Density of states at the Fermi level   5.6 states/eV/cell

=====

Computed, not measured: an optimized crystal structure of BaSc2Te at the PBE level of DFT.

Structure (POSCAR):
```
BaSc2Te
1.0
-1.8628 2.9236 5.7883
1.8628 -2.9236 5.7883
1.8628 2.9236 -5.7883
Ba Sc Te
1 2 1
Direct
0.0000 0.0000 0.0000
0.2939 0.7939 0.5000
0.7061 0.2061 0.5000
0.5000 0.5000 0.0000
```

Values from the calculation:
Symmetry   No. 71
Uncorrected formation energy   -0.370 eV/atom
Total energy   -4.802 eV per atom
Density of states at the Fermi level   4.8 states/eV/cell

=====

Computed, not measured: an optimized crystal structure of La2PmAs at the PBE level of DFT.

Structure (POSCAR):
```
La2PmAs
1.0
1.9894 1.1486 10.5614
-1.9894 1.1486 10.5614
0.0000 -2.2972 10.5614
La Pm As
2 1 1
Direct
0.1094 0.1094 0.1094
0.8906 0.8906 0.8906
0.0000 0.0000 0.0000
0.5000 0.5000 0.5000
```

Values from the calculation:
Symmetry   No. 166
ΔE_f   -0.45 eV/atom
Total energy   -5.264 eV per atom
E above lowest polymorph   168 meV/atom
Density of states at the Fermi level   5.6 states/eV/cell

=====

Computed, not measured: an optimized crystal structure of La3HoIn2 at the PBE level of DFT.

Structure (POSCAR):
```
La3HoIn2
1.0
-3.4269 8.5496 3.4099
3.4269 -8.5496 3.4099
3.4269 8.5496 -3.4099
La Ho In
6 2 4
Direct
0.1766 0.2490 0.4256
0.2500 0.2500 0.0000
0.3234 0.7490 0.0723
0.6766 0.2510 0.9277
0.7500 0.7500 0.0000
0.8234 0.7510 0.5744
0.2500 0.7500 0.5000
0.7500 0.2500 0.5000
0.1314 0.7383 0.8698
0.3686 0.2383 0.6069
0.6314 0.7617 0.3931
0.8686 0.2617 0.1302
```

Values from the calculation:
Symmetry   No. 72
ΔE_f   -0.31 eV/atom
Total energy   -4.449 eV per atom
E above lowest polymorph   50 meV/atom
Density of states at the Fermi level   16.0 states/eV/cell

=====

Computed, not measured: an optimized crystal structure of LiCa3Si2N5 at the PBE level of DFT.

Structure (POSCAR):
```
LiCa3Si2N5
1.0
2.5898 -10.2604 0.0000
2.5898 10.2604 0.0000
-0.2052 0.0000 10.4314
Li Ca Si N
4 12 8 20
Direct
0.1274 0.8726 0.7500
0.3447 0.6553 0.2500
0.6553 0.3447 0.7500
0.8726 0.1274 0.2500
0.0387 0.4688 0.8543
0.1572 0.3366 0.6447
0.2318 0.2698 0.3680
0.2698 0.2318 0.8680
0.3366 0.1572 0.1447
0.4688 0.0387 0.3543
0.5312 0.9613 0.6457
0.6634 0.8428 0.8553
0.7302 0.7682 0.1320
0.7682 0.7302 0.6320
0.8428 0.6634 0.3553
0.9613 0.5312 0.1457
0.0062 0.6134 0.5474
0.1920 0.4015 0.0376
0.3866 0.9938 0.9526
0.4015 0.1920 0.5376
0.5985 0.8080 0.4624
0.6134 0.0062 0.0474
0.8080 0.5985 0.9624
0.9938 0.3866 0.4526
0.0018 0.4542 0.6165
0.0477 0.6947 0.9126
0.1665 0.3619 0.8697
0.1998 0.2661 0.1226
0.2450 0.5009 0.4238
0.2661 0.1998 0.6226
0.3053 0.9523 0.5874
0.3619 0.1665 0.3697
0.4542 0.0018 0.1165
0.4991 0.7550 0.0762
0.5009 0.2450 0.9238
0.5458 0.9982 0.8835
0.6381 0.8335 0.6303
0.6947 0.0477 0.4126
0.7339 0.8002 0.3774
0.7550 0.4991 0.5762
0.8002 0.7339 0.8774
0.8335 0.6381 0.1303
0.9523 0.3053 0.0874
0.9982 0.5458 0.3835
```

Values from the calculation:
Symmetry   No. 15
Uncorrected formation energy   -1.142 eV/atom
Total energy   -6.632 eV per atom
Density of states at the Fermi level   0.0 states/eV/cell

=====

Computed, not measured: an optimized crystal structure of Li4Hg2F at the PBE level of DFT.

Structure (POSCAR):
```
Li4Hg2F
1.0
-1.9877 1.9877 7.1482
1.9877 -1.9877 7.1482
1.9877 1.9877 -7.1482
Li Hg F
4 2 1
Direct
0.0000 0.5000 0.5000
0.1447 0.1447 0.0000
0.5000 0.0000 0.5000
0.8553 0.8553 0.0000
0.3365 0.3365 0.0000
0.6635 0.6635 0.0000
0.0000 0.0000 0.0000
```

Values from the calculation:
Symmetry   No. 139
Uncorrected formation energy   -0.961 eV/atom
Total energy   -2.409 eV per atom
Density of states at the Fermi level   0.9 states/eV/cell

=====

Computed, not measured: an optimized crystal structure of Sr2InCu at the PBE level of DFT.

Structure (POSCAR):
```
Sr2InCu
1.0
-1.9101 2.7755 5.7509
1.9101 -2.7755 5.7509
1.9101 2.7755 -5.7509
Sr In Cu
2 1 1
Direct
0.0000 0.0000 0.0000
0.6980 0.1980 0.5000
0.4088 0.4088 0.0000
0.2393 0.7393 0.5000
```

Values from the calculation:
Symmetry   No. 44
ΔE_f   -0.14 eV/atom
Total energy   -2.689 eV per atom
Density of states at the Fermi level   3.6 states/eV/cell

=====

Computed, not measured: an optimized crystal structure of Ba2SrLiCa at the PBE level of DFT.

Structure (POSCAR):
```
Ba2SrLiCa
1.0
6.5281 0.0000 0.0000
0.0000 6.5281 0.0000
0.0000 0.0000 6.4733
Ba Sr Li Ca
2 1 1 1
Direct
0.0000 0.5000 0.0000
0.5000 0.0000 0.0000
0.0000 0.0000 0.5000
0.0000 0.0000 0.0000
0.5000 0.5000 0.5000
```

Values from the calculation:
Symmetry   No. 123
ΔE_f   0.21 eV/atom
Total energy   -1.678 eV per atom
E above lowest polymorph   40 meV/atom
Density of states at the Fermi level   7.6 states/eV/cell

=====

Computed, not measured: an optimized crystal structure of AlInIr2Se at the PBE level of DFT.

Structure (POSCAR):
```
AlInIr2Se
1.0
4.9582 0.0000 0.0000
0.0000 4.9582 0.0000
0.0000 0.0000 4.7837
Al In Ir Se
1 1 2 1
Direct
0.0000 0.0000 0.0000
0.0000 0.0000 0.5000
0.0000 0.5000 0.5000
0.5000 0.0000 0.5000
0.5000 0.5000 0.0000
```

Values from the calculation:
Symmetry   No. 123
Uncorrected formation energy   1.658 eV/atom
Total energy   -3.879 eV per atom
Density of states at the Fermi level   7.1 states/eV/cell

=====

Computed, not measured: an optimized crystal structure of Tc4Hg5 at the PBE level of DFT.

Structure (POSCAR):
```
Tc4Hg5
1.0
8.2813 0.0000 0.0000
-4.1407 7.1718 0.0000
0.0000 0.0000 5.6107
Tc Hg
8 10
Direct
0.0000 0.0000 0.0000
0.0000 0.0000 0.5000
0.0000 0.3593 0.2500
0.0000 0.6407 0.7500
0.3593 0.0000 0.2500
0.3593 0.3593 0.7500
0.6407 0.0000 0.7500
0.6407 0.6407 0.2500
0.0000 0.2996 0.7500
0.0000 0.7004 0.2500
0.2996 0.0000 0.7500
0.2996 0.2996 0.2500
0.3333 0.6667 0.0000
0.3333 0.6667 0.5000
0.6667 0.3333 0.0000
0.6667 0.3333 0.5000
0.7004 0.0000 0.2500
0.7004 0.7004 0.7500
```

Values from the calculation:
Symmetry   No. 193
ΔE_f   0.86 eV/atom
Total energy   -3.913 eV per atom
E above lowest polymorph   399 meV/atom
Density of states at the Fermi level   20.9 states/eV/cell

=====

Computed, not measured: an optimized crystal structure of KRbNa2 at the PBE level of DFT.

Structure (POSCAR):
```
KRbNa2
1.0
4.8489 0.0000 0.0000
0.0000 4.8489 0.0000
0.0000 0.0000 9.7431
K Rb Na
1 1 2
Direct
0.0000 0.0000 0.0000
0.0000 0.0000 0.5000
0.5000 0.5000 0.2304
0.5000 0.5000 0.7696
```

Values from the calculation:
Symmetry   No. 123
ΔE_f   0.03 eV/atom
Total energy   -1.147 eV per atom
E above lowest polymorph   0 meV/atom
Density of states at the Fermi level   2.1 states/eV/cell

=====

Computed, not measured: an optimized crystal structure of Pm2PuC2 at the PBE level of DFT.

Structure (POSCAR):
```
Pm2PuC2
1.0
5.8464 -2.6730 0.0000
5.8464 2.6730 0.0000
-3.5379 0.0000 6.7346
Pm Pu C
4 2 4
Direct
0.0240 0.0240 0.2399
0.3251 0.3251 0.9052
0.6749 0.6749 0.0948
0.9760 0.9760 0.7601
0.3683 0.3683 0.3957
0.6317 0.6317 0.6043
0.1854 0.1854 0.1126
0.4882 0.4882 0.7485
0.5118 0.5118 0.2515
0.8146 0.8146 0.8874
```

Values from the calculation:
Symmetry   No. 12
ΔE_f   0.01 eV/atom
Total energy   -8.451 eV per atom
Density of states at the Fermi level   11.2 states/eV/cell

=====

Computed, not measured: an optimized crystal structure of YHoTh14 at the PBE level of DFT.

Structure (POSCAR):
```
YHoTh14
1.0
11.5808 0.0000 0.0000
0.0000 3.5850 6.2138
0.0000 -3.5850 6.2138
Y Ho Th
1 1 14
Direct
0.0000 0.0000 0.0000
0.0000 0.5000 0.5000
0.0000 0.4966 0.9967
0.0000 0.9967 0.4966
0.2503 0.1655 0.6650
0.2503 0.6650 0.1655
0.2512 0.1653 0.1653
0.2505 0.6652 0.6652
0.5000 0.3324 0.3324
0.5000 0.3324 0.8320
0.5000 0.8320 0.3324
0.5000 0.8324 0.8324
0.7488 0.1653 0.1653
0.7495 0.6652 0.6652
0.7497 0.1655 0.6650
0.7497 0.6650 0.1655
```

Values from the calculation:
Symmetry   No. 38
ΔE_f   0.03 eV/atom
Total energy   -7.150 eV per atom
Density of states at the Fermi level   20.0 states/eV/cell

=====

Computed, not measured: an optimized crystal structure of Tb2Y2Tm at the PBE level of DFT.

Structure (POSCAR):
```
Tb2Y2Tm
1.0
14.5382 0.0000 0.0000
0.0000 7.1287 0.0000
-0.8766 0.0000 6.1110
Tb Y Tm
8 8 4
Direct
0.0011 0.1250 0.2520
0.0011 0.3750 0.7520
0.3983 0.6248 0.3825
0.3983 0.8752 0.8825
0.6017 0.1248 0.1175
0.6017 0.3752 0.6175
0.9989 0.6250 0.2480
0.9989 0.8750 0.7480
0.1991 0.6247 0.6478
0.1991 0.8753 0.1478
0.3974 0.1252 0.3840
0.3974 0.3748 0.8840
0.6026 0.6252 0.1160
0.6026 0.8748 0.6160
0.8009 0.1247 0.8522
0.8009 0.3753 0.3522
0.1988 0.1255 0.6500
0.1988 0.3745 0.1500
0.8012 0.6255 0.8500
0.8012 0.8745 0.3500
```

Values from the calculation:
Symmetry   No. 14
ΔE_f   0.01 eV/atom
Total energy   -5.324 eV per atom
E above lowest polymorph   0 meV/atom
Density of states at the Fermi level   28.5 states/eV/cell